Material: MoPPt2
Method: DFT, PBE
State: optimized geometry

Properties
Its uncorrected energy is -7.2151 eV per atom. For the theoretical density, the calculation gives 14.2 Mg/m³. The density of states at the Fermi level is 3.066 states/eV/f.u. The formation energy comes out at -0.1345 eV per atom.

a b c (Å): 2.8776 4.1613 5.2398
angles (deg): 90.00 105.74 90.00
With the nearest neighbours (Å) after each atom.
Space group P2/m (No. 10)
One atom of each set of equivalent atoms:
1 Mo 0.0000 0.0000 0.0000  2 P 2.62, 8 Pt 2.82-2.87, 2 Mo 2.88
2 P 0.0000 0.0000 0.5000  4 Pt 2.50, 2 Mo 2.62
3 Pt 0.3535 0.5000 0.7409  2 P 2.50, 2 Pt 2.62-2.78